Run 1
A plane-wave DFT calculation with PBE was carried out for a relaxed structure of ScInSe4.

Unit cell a=6.5691 b=7.7017 c=7.8149 alpha=119.52 beta=100.96 gamma=90.00
Closest atoms and distances in Å follow each position.
Sites, in units of the cell vectors:
Se 0.8166 0.2845 0.8486  1 Se 2.41
Se 0.2411 0.9611 0.6850  1 In 2.54, 1 Sc 2.62
Se 0.1834 0.7155 0.1514  1 Se 2.41
Se 0.7589 0.0389 0.3150  1 In 2.54, 1 Sc 2.62
Sc 0.2500 0.3170 0.0000  6 Se 2.62-2.83
Se 0.6834 0.4359 0.1514  1 Se 2.41
In 0.5000 0.0000 0.5000  2 Se 2.54
In 0.0000 0.5000 0.5000  2 Se 2.54
Se 0.3166 0.5641 0.8486  1 Se 2.41
Sc 0.7500 0.6830 0.0000  6 Se 2.62-2.83
Se 0.7411 0.7239 0.6850  1 In 2.54, 1 Sc 2.62
Se 0.2589 0.2761 0.3150  1 In 2.54, 1 Sc 2.62

Properties
**Total moment**: 0.00 μB per cell

=====

Run 2
A plane-wave DFT calculation with PBE was carried out for a relaxed structure of ScInSe4.

Unit cell a=5.8114 b=5.8114 c=5.8114 alpha=60.00 beta=60.00 gamma=60.00
Closest atoms and distances in Å follow each position.
Sites, in units of the cell vectors:
Se 0.8773 0.3742 0.3742  6 Se 2.89-2.92
Se 0.3742 0.3742 0.8773  6 Se 2.89-2.92
Sc 0.0000 0.0000 0.0000  12 Se 3.41, 4 In 3.56
In 0.7500 0.7500 0.7500  12 Se 3.41, 4 Sc 3.56
Se 0.3742 0.3742 0.3742  6 Se 2.89-2.92
Se 0.3742 0.8773 0.3742  6 Se 2.89-2.92

Properties
**Total moment**: 0.15 μB per cell

=====

The winner here is run 1, beating the second structure by 0.870 eV/atom.

=====

Run 1
A plane-wave DFT calculation with PBE was carried out for a relaxed structure of ScInSi2.

Unit cell a=4.8045 b=4.8045 c=4.8045 alpha=60.00 beta=60.00 gamma=60.00
Closest atoms and distances in Å follow each position.
Sites, in units of the cell vectors:
Sc 0.7500 0.7500 0.7500  4 In 2.94, 4 Si 2.94
Si 0.2500 0.2500 0.2500  4 Si 2.94, 4 In 2.94
Si 0.0000 0.0000 0.0000  4 Sc 2.94, 4 Si 2.94
In 0.5000 0.5000 0.5000  4 Sc 2.94, 4 Si 2.94

Properties
**Total moment**: 0.00 μB per cell

=====

Run 2
A plane-wave DFT calculation with PBE was carried out for a relaxed structure of ScInSi2.

Unit cell a=4.3360 b=4.3369 c=3.9108 alpha=90.00 beta=90.00 gamma=90.00
Closest atoms and distances in Å follow each position.
Sites, in units of the cell vectors:
In 0.5000 0.0000 0.5000  8 Si 2.92, 4 Sc 3.07
Si 0.5000 0.5000 0.0000  4 Sc 2.92, 4 In 2.92, 4 Si 3.07
Sc 0.0000 0.5000 0.5000  8 Si 2.92, 4 In 3.07
Si 0.0000 0.0000 0.0000  4 In 2.92, 4 Sc 2.92, 4 Si 3.07

Properties
**Total moment**: 0.00 μB per cell

=====

Run 3
A plane-wave DFT calculation with PBE was carried out for a relaxed structure of ScInSi2.

Unit cell a=4.8061 b=4.8061 c=4.8061 alpha=60.00 beta=60.00 gamma=60.00
Closest atoms and distances in Å follow each position.
Sites, in units of the cell vectors:
Si 0.7500 0.7500 0.7500  4 In 2.94, 4 Sc 2.94
In 0.5000 0.5000 0.5000  8 Si 2.94
Si 0.2500 0.2500 0.2500  4 In 2.94, 4 Sc 2.94
Sc 0.0000 0.0000 0.0000  8 Si 2.94

Properties
**Total moment**: 0.00 μB per cell

=====

The winner here is run 2, beating the second structure by 0.295 eV/atom.